Record 1
A plane-wave DFT calculation with PBE-GGA was carried out for an optimized crystal structure of BaCdSeN2.

Calculated values
**Polymorph energy (0 for the lowest one)**: 0 meV per atom

Unit cell a=4.625 b=4.625 c=5.458 alpha=90.00 beta=90.00 gamma=90.00
Element x y z (fractional)
Ba 0.000 0.000 0.000
Cd 0.500 0.500 0.500
Se 0.500 0.500 0.000
N 0.000 0.500 0.500
N 0.500 0.000 0.500

Record 2
A plane-wave DFT calculation with PBE-GGA was carried out for an optimized crystal structure of BaCd2SiN.

Calculated values
**E**: -3.154 eV per atom

Unit cell a=4.665 b=4.665 c=5.512 alpha=90.00 beta=90.00 gamma=90.00
Element x y z (fractional)
Ba 0.000 0.000 0.000
Cd 0.000 0.500 0.500
Cd 0.500 0.000 0.500
Si 0.500 0.500 0.000
N 0.000 0.000 0.500